No. 1
This record from the Alexandria database describes crystalline AlIr2Br at its relaxed geometry. The functional is PBE.

a b c (Å): 3.6853 2.8439 8.0760
angles (deg): 71.25 90.00 90.00
Closest atoms and distances in Å follow each position.
Sites, in units of the cell vectors:
1 Ir 0.0000 0.8238 0.0444  2 Br 2.49, 1 Al 2.58
2 Ir 0.5000 0.1367 0.2494  4 Al 2.54, 4 Ir 2.81
3 Al 0.0000 0.5163 0.3812  5 Ir 2.54-2.58
4 Br 0.5000 0.0232 0.8250  2 Ir 2.49

Properties
For the formation energy without anion corrections, the calculation gives 0.100 eV/atom. As for the total energy: -5.6839 eV/atom. The value obtained for the relative energy among the computed polymorphs is 52 meV/atom. The space group is Pm (6).

No. 2
This record from the Alexandria database describes crystalline AlIrBr at its relaxed geometry. The functional is PBE.

a b c (Å): 4.4137 4.4137 3.1892
angles (deg): 90.00 90.00 120.00
Closest atoms and distances in Å follow each position.
Sites, in units of the cell vectors:
1 Ir 0.3333 0.6667 0.6623  3 Br 2.63, 3 Al 2.65
2 Al 0.0000 0.0000 0.8854  3 Ir 2.65, 3 Br 2.90
3 Br 0.6667 0.3333 0.4523  3 Ir 2.63, 3 Al 2.90

Properties
For the formation energy without anion corrections, the calculation gives 0.381 eV/atom. As for the total energy: -4.3781 eV/atom. The value obtained for the relative energy among the computed polymorphs is 552 meV/atom. The space group is P3m1 (156).

No. 3
This record from the Alexandria database describes crystalline AlIrBr at its relaxed geometry. The functional is PBE.

a b c (Å): 6.9078 6.6360 3.1023
angles (deg): 81.70 71.91 26.39
Closest atoms and distances in Å follow each position.
Sites, in units of the cell vectors:
1 Ir 0.6347 0.6347 0.3653  2 Al 2.36
2 Al 0.0085 0.0085 0.9915  2 Ir 2.36, 2 Br 2.60
3 Br 0.3568 0.3568 0.6432  2 Al 2.60

Properties
For the formation energy without anion corrections, the calculation gives 0.131 eV/atom. As for the total energy: -4.6274 eV/atom. The value obtained for the relative energy among the computed polymorphs is 303 meV/atom. The space group is Fmm2 (42).

No. 4
This record from the Alexandria database describes crystalline AlIrBr2 at its relaxed geometry. The functional is PBE.

a b c (Å): 3.4826 3.4792 7.8035
angles (deg): 90.00 90.00 90.00
Closest atoms and distances in Å follow each position.
Sites, in units of the cell vectors:
1 Ir 0.0000 0.0000 0.5870  1 Br 2.51, 4 Al 2.54
2 Al 0.5000 0.5000 0.6663  4 Ir 2.54, 1 Br 2.56
3 Br 0.0000 0.0000 0.9091  1 Ir 2.51
4 Br 0.5000 0.5000 0.3376  1 Al 2.56

Properties
For the formation energy without anion corrections, the calculation gives -0.051 eV/atom. As for the total energy: -4.0387 eV/atom. The value obtained for the relative energy among the computed polymorphs is 241 meV/atom. The space group is P4mm (99).

No. 5
This record from the Alexandria database describes crystalline AlIrBr2 at its relaxed geometry. The functional is PBE.

a b c (Å): 8.6770 8.6551 8.6312
angles (deg): 159.62 153.27 33.77
Closest atoms and distances in Å follow each position.
Sites, in units of the cell vectors:
1 Ir 0.7500 0.2500 0.5000  2 Br 2.47, 4 Al 2.52
2 Al 0.2500 0.7500 0.5000  4 Ir 2.52
3 Br 0.8915 0.3921 0.4851  1 Ir 2.47
4 Br 0.6085 0.1079 0.5149  1 Ir 2.47

Properties
For the formation energy without anion corrections, the calculation gives -0.293 eV/atom. As for the total energy: -4.2802 eV/atom. The value obtained for the relative energy among the computed polymorphs is 0 meV/atom. The space group is P-1 (2).

No. 6
This record from the Alexandria database describes crystalline AlIrBr at its relaxed geometry. The functional is PBE.

a b c (Å): 3.1819 3.1819 6.5701
angles (deg): 90.00 90.00 120.00
Closest atoms and distances in Å follow each position.
Sites, in units of the cell vectors:
1 Ir 0.6667 0.3333 0.7424  3 Al 2.45
2 Al 0.0000 0.0000 0.9883  3 Ir 2.45, 3 Br 2.60
3 Br 0.3333 0.6667 0.2693  3 Al 2.60

Properties
For the formation energy without anion corrections, the calculation gives -0.092 eV/atom. As for the total energy: -4.8513 eV/atom. The value obtained for the relative energy among the computed polymorphs is 79 meV/atom. The space group is P3m1 (156).

No. 7
This record from the Alexandria database describes crystalline AlIrBr2 at its relaxed geometry. The functional is PBE.

a b c (Å): 4.9310 4.9310 4.9310
angles (deg): 125.60 125.60 80.55
Closest atoms and distances in Å follow each position.
Sites, in units of the cell vectors:
1 Ir 0.5000 0.5000 0.0000  8 Br 2.94-3.19, 4 Al 2.94
2 Al 0.7500 0.2500 0.5000  4 Ir 2.94, 8 Br 2.94-3.19
3 Br 0.0000 0.0000 0.0000  4 Al 2.94, 4 Br 2.94, 4 Ir 3.19
4 Br 0.2500 0.7500 0.5000  4 Br 2.94, 4 Ir 2.94, 4 Al 3.19

Properties
For the formation energy without anion corrections, the calculation gives 0.761 eV/atom. As for the total energy: -3.2261 eV/atom. The value obtained for the relative energy among the computed polymorphs is 1054 meV/atom. The space group is I-4m2 (119).

No. 8
This record from the Alexandria database describes crystalline AlIr2Br at its relaxed geometry. The functional is PBE.

a b c (Å): 4.8060 5.2972 3.0295
angles (deg): 73.13 90.55 117.15
Closest atoms and distances in Å follow each position.
Sites, in units of the cell vectors:
1 Ir 0.0000 0.0000 0.0000  2 Al 2.64, 2 Br 2.64, 4 Ir 2.83-2.85
2 Ir 0.5000 0.0000 0.5000  2 Br 2.64, 2 Al 2.64, 4 Ir 2.83-2.85
3 Al 0.0000 0.5000 0.5000  4 Ir 2.64, 4 Br 2.83-2.85
4 Br 0.5000 0.5000 0.0000  4 Ir 2.64, 4 Al 2.83-2.85

Properties
For the formation energy without anion corrections, the calculation gives 0.442 eV/atom. As for the total energy: -5.3419 eV/atom. The value obtained for the relative energy among the computed polymorphs is 394 meV/atom. The space group is C2/m (12).

No. 9
This record from the Alexandria database describes crystalline AlIrBr2 at its relaxed geometry. The functional is PBE.

a b c (Å): 3.5222 3.5222 9.6364
angles (deg): 90.00 90.00 126.03
Closest atoms and distances in Å follow each position.
Sites, in units of the cell vectors:
1 Ir 0.0000 0.0000 0.5310  2 Al 2.45, 2 Br 2.57
2 Al 0.5000 0.5000 0.7234  2 Ir 2.45, 2 Br 2.51
3 Br 0.0000 0.0000 0.9240  2 Al 2.51
4 Br 0.5000 0.5000 0.3216  2 Ir 2.57

Properties
For the formation energy without anion corrections, the calculation gives 0.051 eV/atom. As for the total energy: -3.9360 eV/atom. The value obtained for the relative energy among the computed polymorphs is 344 meV/atom. The space group is Cmm2 (35).

No. 10
This record from the Alexandria database describes crystalline AlIrBr3 at its relaxed geometry. The functional is PBE.

a b c (Å): 5.1249 5.1249 5.1249
angles (deg): 90.00 90.00 90.00
Closest atoms and distances in Å follow each position.
Sites, in units of the cell vectors:
1 Al 0.5000 0.5000 0.5000  12 Br 3.62
2 Ir 0.0000 0.0000 0.0000  6 Br 2.56
3 Br 0.0000 0.5000 0.0000  2 Ir 2.56
4 Br 0.0000 0.0000 0.5000  2 Ir 2.56
5 Br 0.5000 0.0000 0.0000  2 Ir 2.56

Properties
For the formation energy without anion corrections, the calculation gives 0.219 eV/atom. As for the total energy: -3.3053 eV/atom. The value obtained for the relative energy among the computed polymorphs is 0 meV/atom. The space group is Pm-3m (221).

No. 11
This record from the Alexandria database describes crystalline AlIr2Br at its relaxed geometry. The functional is PBE.

a b c (Å): 2.9403 2.9403 7.7938
angles (deg): 90.00 90.00 90.00
Closest atoms and distances in Å follow each position.
Sites, in units of the cell vectors:
1 Ir 0.0000 0.0000 0.0239  8 Ir 2.79-2.94, 4 Br 2.93
2 Ir 0.5000 0.5000 0.2634  4 Al 2.55, 4 Ir 2.79
3 Al 0.0000 0.0000 0.4531  4 Ir 2.55
4 Br 0.5000 0.5000 0.7596  4 Ir 2.93, 4 Br 2.94, 4 Al 3.17

Properties
For the formation energy without anion corrections, the calculation gives 0.344 eV/atom. As for the total energy: -5.4399 eV/atom. The value obtained for the relative energy among the computed polymorphs is 296 meV/atom. The space group is P4mm (99).

No. 12
This record from the Alexandria database describes crystalline AlIrBr2 at its relaxed geometry. The functional is PBE.

a b c (Å): 5.4575 5.4575 3.4285
angles (deg): 71.52 71.52 110.96
Closest atoms and distances in Å follow each position.
Sites, in units of the cell vectors:
1 Ir 0.5000 0.0000 0.5000  4 Br 2.72
2 Al 0.0000 0.5000 0.5000  4 Br 2.72
3 Br 0.0000 0.0000 0.0000  2 Ir 2.72, 2 Al 2.72
4 Br 0.5000 0.5000 0.0000  2 Al 2.72, 2 Ir 2.72

Properties
For the formation energy without anion corrections, the calculation gives 0.597 eV/atom. As for the total energy: -3.3900 eV/atom. The value obtained for the relative energy among the computed polymorphs is 890 meV/atom. The space group is C2/m (12).

What did the eighth record say?
This record from the Alexandria database describes crystalline AlIr2Br at its relaxed geometry. The functional is PBE.

a b c (Å): 4.8060 5.2972 3.0295
angles (deg): 73.13 90.55 117.15
Closest atoms and distances in Å follow each position.
Sites, in units of the cell vectors:
1 Ir 0.0000 0.0000 0.0000  2 Al 2.64, 2 Br 2.64, 4 Ir 2.83-2.85
2 Ir 0.5000 0.0000 0.5000  2 Br 2.64, 2 Al 2.64, 4 Ir 2.83-2.85
3 Al 0.0000 0.5000 0.5000  4 Ir 2.64, 4 Br 2.83-2.85
4 Br 0.5000 0.5000 0.0000  4 Ir 2.64, 4 Al 2.83-2.85

Properties
For the formation energy without anion corrections, the calculation gives 0.442 eV/atom. As for the total energy: -5.3419 eV/atom. The value obtained for the relative energy among the computed polymorphs is 394 meV/atom. The space group is C2/m (12).